# TaReAs2, single point on PBEsol structure, DFT SCAN
data_TaReAs2
_symmetry_space_group_name_H-M 'P 1'
_symmetry_Int_Tables_number 1
_symmetry_space_group_name_Hall 'P 1'
_cell_length_a 3.2036
_cell_length_b 4.5837
_cell_length_c 4.6883
_cell_angle_alpha 105.59
_cell_angle_beta 109.98
_cell_angle_gamma 90.00
loop_
_atom_site_label
_atom_site_fract_x
_atom_site_fract_y
_atom_site_fract_z
_atom_site_occupancy
Re1 0.4922 0.4436 0.9845 1
As1 0.9968 0.9552 0.9935 1
Ta1 0.2544 0.8033 0.5088 1
As2 0.7566 0.2979 0.5131 1
# **SG**: Cm
# **Crystal system**: monoclinic
# **ΔE to the lowest computed polymorph**: 0.007 eV/atom
# **Formation energy from the elements**: -125 meV per atom



# AlMoAu2, single point on PBEsol structure, DFT SCAN
data_AlMoAu2
_symmetry_space_group_name_H-M 'P 1'
_symmetry_Int_Tables_number 1
_symmetry_space_group_name_Hall 'P 1'
_cell_length_a 4.4948
_cell_length_b 4.4948
_cell_length_c 4.4948
_cell_angle_alpha 60.00
_cell_angle_beta 60.00
_cell_angle_gamma 60.00
loop_
_atom_site_label
_atom_site_fract_x
_atom_site_fract_y
_atom_site_fract_z
_atom_site_occupancy
Au1 0.7500 0.7500 0.7500 1
Mo1 0.2500 0.2500 0.2500 1
Au2 0.0000 0.0000 0.0000 1
Al1 0.5000 0.5000 0.5000 1
# **SG**: F-43m
# **Crystal system**: cubic
# **Formation energy from the elements**: 62 meV per atom



# IrRh5, single point on PBEsol structure, DFT SCAN
data_IrRh5
_symmetry_space_group_name_H-M 'P 1'
_symmetry_Int_Tables_number 1
_symmetry_space_group_name_Hall 'P 1'
_cell_length_a 2.6908
_cell_length_b 4.3470
_cell_length_c 7.1070
_cell_angle_alpha 90.00
_cell_angle_beta 100.91
_cell_angle_gamma 90.00
loop_
_atom_site_label
_atom_site_fract_x
_atom_site_fract_y
_atom_site_fract_z
_atom_site_occupancy
Rh1 0.6662 0.0000 0.3324 1
Rh2 0.8882 0.5000 0.7763 1
Rh3 0.3337 0.0000 0.6675 1
Ir1 0.0000 0.0000 0.9999 1
Rh4 0.2228 0.5000 0.4457 1
Rh5 0.5558 0.5000 0.1115 1
# **SG**: Amm2
# **Crystal system**: orthorhombic
# **ΔE to the lowest computed polymorph**: 0.055 eV/atom
# **Formation energy from the elements**: 45 meV per atom



# YZnP2O, single point on PBEsol structure, DFT SCAN
data_YZnP2O
_symmetry_space_group_name_H-M 'P 1'
_symmetry_Int_Tables_number 1
_symmetry_space_group_name_Hall 'P 1'
_cell_length_a 3.8306
_cell_length_b 4.6711
_cell_length_c 4.6711
_cell_angle_alpha 90.00
_cell_angle_beta 90.00
_cell_angle_gamma 90.00
loop_
_atom_site_label
_atom_site_fract_x
_atom_site_fract_y
_atom_site_fract_z
_atom_site_occupancy
P1 0.0000 0.0000 0.5000 1
Y1 0.5000 0.5000 0.5000 1
P2 0.0000 0.5000 0.0000 1
Zn1 0.0000 0.0000 0.0000 1
O1 0.5000 0.0000 0.0000 1
# **Formation energy without anion corrections**: -0.41 eV per atom
# **SG**: P4/mmm
# **Crystal system**: tetragonal



# ZrMoP2, single point on PBEsol structure, DFT SCAN
data_ZrMoP2
_symmetry_space_group_name_H-M 'P 1'
_symmetry_Int_Tables_number 1
_symmetry_space_group_name_Hall 'P 1'
_cell_length_a 3.3375
_cell_length_b 3.3375
_cell_length_c 5.5440
_cell_angle_alpha 90.00
_cell_angle_beta 90.00
_cell_angle_gamma 90.00
loop_
_atom_site_label
_atom_site_fract_x
_atom_site_fract_y
_atom_site_fract_z
_atom_site_occupancy
Mo1 0.5000 0.5000 0.8077 1
P1 0.5000 0.5000 0.2714 1
Zr1 0.0000 0.0000 0.4567 1
P2 0.0000 0.0000 0.9642 1
# **SG**: P4mm
# **Crystal system**: tetragonal
# **ΔE to the lowest computed polymorph**: 0.281 eV/atom
# **Formation energy from the elements**: -708 meV per atom



# SrIn2Os, single point on PBEsol structure, DFT SCAN
data_SrIn2Os
_symmetry_space_group_name_H-M 'P 1'
_symmetry_Int_Tables_number 1
_symmetry_space_group_name_Hall 'P 1'
_cell_length_a 3.5350
_cell_length_b 3.5350
_cell_length_c 7.5581
_cell_angle_alpha 90.00
_cell_angle_beta 90.00
_cell_angle_gamma 90.00
loop_
_atom_site_label
_atom_site_fract_x
_atom_site_fract_y
_atom_site_fract_z
_atom_site_occupancy
In1 0.5000 0.5000 0.2964 1
In2 0.0000 0.0000 0.0519 1
Os1 0.0000 0.0000 0.4363 1
Sr1 0.5000 0.5000 0.7155 1
# **SG**: P4mm
# **Crystal system**: tetragonal
# **Formation energy from the elements**: 204 meV per atom